Density functional theory data (PBE) for an optimized crystal structure of MgCuPd2Cl.

```
MgCuPd2Cl
1.0
-4.575 1.143 1.015
-1.296 -1.536 -4.112
-0.686 -4.398 1.859
Pd Cu Cl Mg
2 1 1 1
Cartesian
-0.343 -2.199 0.930
-2.288 0.572 0.507
-3.279 -2.395 -0.619
-0.648 -0.768 -2.056
0.000 0.000 0.000
```

Formation energy from raw total energies: 0.475 eV/atom
Space group: P4/mmm, No. 123

---

Density functional theory data (PBE) for an optimized crystal structure of RbMg2CuCl6.

```
RbMg2CuCl6
1.0
-4.559 -4.068 3.621
-2.768 -6.783 -6.688
5.937 -6.430 4.670
Cl Mg Rb Cu
12 4 2 2
Cartesian
0.185 -14.289 1.775
1.044 -12.312 -1.889
-0.537 -11.854 4.701
-0.853 -5.427 -3.097
-1.442 -6.845 0.309
-2.747 -8.840 3.390
-2.434 -4.969 3.493
1.357 -8.441 -1.787
-2.041 -9.973 -2.046
0.651 -7.308 3.649
-1.576 -2.992 -0.172
0.052 -10.436 1.294
0.122 -10.363 -1.077
-0.493 -4.935 -0.775
-1.512 -6.918 2.680
-0.897 -12.346 2.378
1.573 -9.519 6.153
-2.963 -7.762 -4.550
2.305 -7.548 2.324
-3.695 -9.733 -0.720
```

Formation energy from raw total energies: -1.544 eV/atom
Space group: C2/c, No. 15

---

Density functional theory data (PBE) for an optimized crystal structure of RbMgCuCl6.

```
RbMgCuCl6
1.0
-4.164 -0.585 4.560
-2.307 -6.098 2.457
5.771 0.727 4.719
Cl Cu Rb Mg
6 1 1 1
Cartesian
-1.033 -3.837 4.857
-1.077 -0.271 4.040
-0.031 -5.816 7.219
-3.156 -2.735 6.910
0.914 -2.105 7.184
-1.569 -3.932 9.222
-1.429 -4.108 7.023
3.284 -5.218 7.371
0.597 -1.758 4.851
```

Formation energy from raw total energies: -1.188 eV/atom
Space group: P1, No. 1

---

Density functional theory data (PBE) for an optimized crystal structure of RbMgCu2Cl8.

```
RbMgCu2Cl8
1.0
6.396 0.000 0.000
-3.198 5.539 0.000
0.000 0.000 9.067
Cl Mg Cu Rb
8 1 2 1
Cartesian
2.021 0.000 6.041
-2.187 3.789 3.026
3.198 1.846 0.301
0.000 3.692 8.766
2.187 3.789 6.041
1.177 5.539 3.026
1.010 1.750 3.026
5.385 1.750 6.041
0.000 0.000 4.534
3.198 1.846 2.506
0.000 3.692 6.561
0.000 0.000 0.000
```

Formation energy from raw total energies: -0.949 eV/atom
Space group: P-3, No. 147

---

- What is the formation energy from raw total energies in the first record?
  0.475 eV/atom

---

- formation energy from raw total energies of number 1 (MgCuPd2Cl)?
  0.475 eV/atom